Material: HfZnNi2F
Method: DFT, PBE+U
State: optimized geometry

Output
Total DFT energy (no corrections), eV per cell: -16.6
Total magnetization, μB per formula unit: 0.000

The structure in CIF format:
```
data_HfZnNi2F
_symmetry_space_group_name_H-M 'P 4/m m m'
_symmetry_Int_Tables_number 123
_symmetry_space_group_name_Hall '-P 4 2'
_cell_length_a 4.718
_cell_length_b 4.718
_cell_length_c 3.991
_cell_angle_alpha 90.00
_cell_angle_beta 90.00
_cell_angle_gamma 90.00
loop_
_atom_site_label
_atom_site_fract_x
_atom_site_fract_y
_atom_site_fract_z
_atom_site_occupancy
Hf1 0.000 0.000 0.000 1
Zn1 0.500 0.500 0.500 1
Ni1 0.000 0.500 0.000 1
F1 0.000 0.000 0.500 1
```